The following is a DFT calculation (PBE-GGA) of a relaxed YHg2Br crystal.

```
YHg2Br
1.0
-1.1354 -3.3965 0.6423
3.4990 0.5797 0.8116
-2.6783 2.7124 9.6093
Y Hg Br
1 2 1
Direct
0.0000 0.0000 0.4951
0.0000 0.0000 0.0415
0.5000 0.5000 0.2703
0.5000 0.5000 0.6931
```

Uncorrected formation energy, eV per atom: -0.538
Offset from the most stable computed form, meV per atom: 53
Fermi-level density of states, states/eV/f.u.: 0.6
Uncorrected energy, eV/atom: -2.7234
Symmetry: Cmm2